First-principles (PBE-GGA) data for Dy3Tm6Th after structural relaxation, as listed in Alexandria via LeMat-Bulk.

Structure (CIF):
```
data_Dy3Tm6Th
_chemical_formula_sum 'Dy12 Tm24 Th4'
_cell_length_a 9.322
_cell_length_b 15.113
_cell_length_c 8.892
_cell_angle_alpha 90.00
_cell_angle_beta 90.00
_cell_angle_gamma 90.00
_space_group_name_H-M_alt 'C m c 21'
_space_group_IT_number 36
loop_
_space_group_symop_operation_xyz
'x,y,z'
'-x,-y,z+1/2'
'-x,y,z'
'x,-y,z+1/2'
'x+1/2,y+1/2,z'
'-x+1/2,-y+1/2,z+1/2'
'-x+1/2,y+1/2,z'
'x+1/2,-y+1/2,z+1/2'
loop_
_atom_site_label
_atom_site_type_symbol
_atom_site_fract_x
_atom_site_fract_y
_atom_site_fract_z
_atom_site_occupancy
Dy1 Dy 0.000 0.051 0.000 1
Dy2 Dy 0.175 0.354 0.511 1
Tm1 Tm 0.000 0.216 0.741 1
Tm2 Tm 0.000 0.446 0.872 1
Tm3 Tm 0.179 0.148 0.354 1
Tm4 Tm 0.243 0.441 0.184 1
Th1 Th 0.000 0.276 0.105 1
```

Results
* ΔE_f: 15 kJ/mol of atoms
* uncorrected energy: -4.6535 eV per atom
* distance to the lowest polymorph of the same formula: 0.000 eV per atom



First-principles (PBE-GGA) data for Dy12Tm7Th after structural relaxation, as listed in Alexandria via LeMat-Bulk.

Structure (CIF):
```
data_Dy12Tm7Th
_chemical_formula_sum 'Dy36 Tm21 Th3'
_cell_length_a 12.1149
_cell_length_b 12.1149
_cell_length_c 15.1642
_cell_angle_alpha 90.00
_cell_angle_beta 90.00
_cell_angle_gamma 120.00
_space_group_name_H-M_alt 'R -3'
_space_group_IT_number 148
_space_group_name_Hall '-R 3'
loop_
_atom_site_label
_atom_site_type_symbol
_atom_site_fract_x
_atom_site_fract_y
_atom_site_fract_z
_atom_site_occupancy
Dy1 Dy 0.0144 0.5703 0.2048 1
Dy2 Dy 0.0572 0.4699 0.5888 1
Tm1 Tm 0.0000 0.0000 0.0000 1
Tm2 Tm 0.0415 0.8562 0.3055 1
Th1 Th 0.0000 0.0000 0.5000 1
```

Results
* ΔE_f: 23 kJ/mol of atoms
* uncorrected energy: -4.4554 eV per atom
* distance to the lowest polymorph of the same formula: 0.000 eV per atom



First-principles (PBE-GGA) data for Dy3Tm8Th after structural relaxation, as listed in Alexandria via LeMat-Bulk.

Structure (CIF):
```
data_Dy3Tm8Th
_chemical_formula_sum 'Dy6 Tm16 Th2'
_cell_length_a 7.612
_cell_length_b 7.612
_cell_length_c 15.319
_cell_angle_alpha 90.00
_cell_angle_beta 90.00
_cell_angle_gamma 90.00
_space_group_name_H-M_alt 'I 4/m m m'
_space_group_IT_number 139
_space_group_name_Hall '-I 4 2'
loop_
_atom_site_label
_atom_site_type_symbol
_atom_site_fract_x
_atom_site_fract_y
_atom_site_fract_z
_atom_site_occupancy
Dy1 Dy 0.000 0.000 0.000 1
Dy2 Dy 0.000 0.500 0.250 1
Tm1 Tm 0.250 0.250 0.125 1
Th1 Th 0.000 0.000 0.500 1
```

Results
* ΔE_f: 75 kJ/mol of atoms
* uncorrected energy: -3.9681 eV per atom



First-principles (PBE-GGA) data for Dy3Tm5Th3 after structural relaxation, as listed in Alexandria via LeMat-Bulk.

Structure (CIF):
```
data_Dy3Tm5Th3
_chemical_formula_sum 'Dy6 Tm10 Th6'
_cell_length_a 18.031
_cell_length_b 4.996
_cell_length_c 7.900
_cell_angle_alpha 90.00
_cell_angle_beta 105.37
_cell_angle_gamma 90.00
_space_group_name_H-M_alt 'C 1 m 1'
_space_group_IT_number 8
loop_
_space_group_symop_operation_xyz
'x,y,z'
'x,-y,z'
'x+1/2,y+1/2,z'
'x+1/2,-y+1/2,z'
loop_
_atom_site_label
_atom_site_type_symbol
_atom_site_fract_x
_atom_site_fract_y
_atom_site_fract_z
_atom_site_occupancy
Dy1 Dy 0.000 0.000 0.000 1
Dy2 Dy 0.044 0.500 0.722 1
Dy3 Dy 0.226 0.500 0.634 1
Tm1 Tm 0.090 0.000 0.449 1
Tm2 Tm 0.136 0.500 0.175 1
Tm3 Tm 0.317 0.500 0.089 1
Tm4 Tm 0.362 0.000 0.816 1
Tm5 Tm 0.409 0.500 0.538 1
Th1 Th 0.183 0.000 0.907 1
Th2 Th 0.273 0.000 0.360 1
Th3 Th 0.451 0.000 0.265 1
```

Results
* ΔE_f: 4 kJ/mol of atoms
* uncorrected energy: -5.2745 eV per atom
* distance to the lowest polymorph of the same formula: 0.000 eV per atom



First-principles (PBE-GGA) data for Dy2Y6TmTh3 after structural relaxation, as listed in Alexandria via LeMat-Bulk.

Structure (CIF):
```
data_Dy2Y6TmTh3
_chemical_formula_sum 'Dy4 Y12 Tm2 Th6'
_cell_length_a 6.189
_cell_length_b 10.716
_cell_length_c 11.751
_cell_angle_alpha 90.00
_cell_angle_beta 100.14
_cell_angle_gamma 90.00
_space_group_name_H-M_alt 'C 1 2/m 1'
_space_group_IT_number 12
loop_
_space_group_symop_operation_xyz
'x,y,z'
'-x,-y,-z'
'-x,y,-z'
'x,-y,z'
'x+1/2,y+1/2,z'
'-x+1/2,-y+1/2,-z'
'-x+1/2,y+1/2,-z'
'x+1/2,-y+1/2,z'
loop_
_atom_site_label
_atom_site_type_symbol
_atom_site_fract_x
_atom_site_fract_y
_atom_site_fract_z
_atom_site_occupancy
Dy1 Dy 0.000 0.167 0.000 1
Y1 Y 0.249 0.167 0.747 1
Y2 Y 0.249 0.500 0.747 1
Tm1 Tm 0.000 0.500 0.000 1
Th1 Th 0.000 0.000 0.500 1
Th2 Th 0.000 0.333 0.500 1
```

Results
* ΔE_f: 3 kJ/mol of atoms
* uncorrected energy: -6.1988 eV per atom



First-principles (PBE-GGA) data for Dy6YTm3Th2 after structural relaxation, as listed in Alexandria via LeMat-Bulk.

Structure (CIF):
```
data_Dy6YTm3Th2
_chemical_formula_sum 'Dy12 Y2 Tm6 Th4'
_cell_length_a 6.139
_cell_length_b 10.620
_cell_length_c 11.733
_cell_angle_alpha 90.00
_cell_angle_beta 100.05
_cell_angle_gamma 90.00
_space_group_name_H-M_alt 'C 1 2/m 1'
_space_group_IT_number 12
loop_
_space_group_symop_operation_xyz
'x,y,z'
'-x,-y,-z'
'-x,y,-z'
'x,-y,z'
'x+1/2,y+1/2,z'
'-x+1/2,-y+1/2,-z'
'-x+1/2,y+1/2,-z'
'x+1/2,-y+1/2,z'
loop_
_atom_site_label
_atom_site_type_symbol
_atom_site_fract_x
_atom_site_fract_y
_atom_site_fract_z
_atom_site_occupancy
Dy1 Dy 0.247 0.000 0.250 1
Dy2 Dy 0.247 0.168 0.750 1
Y1 Y 0.000 0.500 0.000 1
Tm1 Tm 0.000 0.000 0.500 1
Tm2 Tm 0.000 0.334 0.500 1
Th1 Th 0.000 0.167 0.000 1
```

Results
* ΔE_f: 3 kJ/mol of atoms
* uncorrected energy: -5.1640 eV per atom



What DOS(E_F) values result from the calculations? In sequence: 13.498 38.331 16.348 16.027 18.803 17.300 states/eV/f.u..